# 1
# Y2ZrCd

Crystalline Y2ZrCd at its relaxed geometry (PBE, the Alexandria database).

a = 4.7706 Å, b = 4.7706 Å, c = 4.6210 Å
α = 90.00°, β = 90.00°, γ = 90.00°
Last column: nearest neighbours and their distance in Å.
Space group P4/mmm (No. 123)
Unique sites:
Y  0.0000  0.5000  0.0000 (multiplicity 2)  4 Cd 3.32, 4 Zr 3.32, 4 Y 3.37
Zr  0.0000  0.0000  0.5000 (multiplicity 1)  8 Y 3.32, 4 Cd 3.37
Cd  0.5000  0.5000  0.5000 (multiplicity 1)  8 Y 3.32, 4 Zr 3.37

Calculated values
E_tot: -5.610 eV/atom

# 2
# Y3ZrCd

Crystalline Y3ZrCd at its relaxed geometry (PBE, the Alexandria database).

a = 5.5813 Å, b = 5.5813 Å, c = 5.5813 Å
α = 90.00°, β = 90.00°, γ = 90.00°
Last column: nearest neighbours and their distance in Å.
Space group Pm-3m (No. 221)
Unique sites:
Y  0.0000  0.0000  0.5000 (multiplicity 3)  2 Cd 2.79
Zr  0.5000  0.5000  0.5000 (multiplicity 1)  12 Y 3.95
Cd  0.0000  0.0000  0.0000 (multiplicity 1)  6 Y 2.79

Calculated values
E_tot: -5.083 eV/atom
Energy relative to the lowest polymorph listed for this composition: 84.4 meV per atom

# 3
# YZr2Cd

Crystalline YZr2Cd at its relaxed geometry (PBE, the Alexandria database).

a = 4.3047 Å, b = 4.3047 Å, c = 22.0511 Å
α = 90.00°, β = 90.00°, γ = 90.00°
Last column: nearest neighbours and their distance in Å.
Space group I-42d (No. 122)
Unique sites:
Y  0.0000  0.0000  0.0000 (multiplicity 4)  4 Cd 3.04, 4 Zr 3.16
Zr  0.2410  0.2500  0.6250 (multiplicity 8)  4 Zr 2.99-3.10, 2 Cd 3.14, 2 Y 3.16
Cd  0.0000  0.0000  0.5000 (multiplicity 4)  4 Y 3.04, 4 Zr 3.14

Calculated values
E_tot: -5.812 eV/atom

# 4
# YZrCd6

Crystalline YZrCd6 at its relaxed geometry (PBE, the Alexandria database).

a = 4.5871 Å, b = 4.5871 Å, c = 8.6970 Å
α = 90.00°, β = 90.00°, γ = 90.00°
Last column: nearest neighbours and their distance in Å.
Space group P4/mmm (No. 123)
Unique sites:
Y  0.0000  0.0000  0.0000 (multiplicity 1)  12 Cd 3.22-3.24
Zr  0.0000  0.0000  0.5000 (multiplicity 1)  12 Cd 3.10-3.24
Cd  0.0000  0.5000  0.2602 (multiplicity 4)  8 Cd 3.10-3.24, 2 Zr 3.10, 2 Y 3.22
Cd  0.5000  0.5000  0.0000 (multiplicity 1)  8 Cd 3.22, 4 Y 3.24
Cd  0.5000  0.5000  0.5000 (multiplicity 1)  8 Cd 3.10, 4 Zr 3.24

Calculated values
E_tot: -2.738 eV/atom

# 5
# YZrCd2

Crystalline YZrCd2 at its relaxed geometry (PBE, the Alexandria database).

a = 7.3050 Å, b = 7.3050 Å, c = 7.3050 Å
α = 90.00°, β = 90.00°, γ = 90.00°
Last column: nearest neighbours and their distance in Å.
Space group F-43m (No. 216)
Unique sites:
Y  0.0000  0.0000  0.0000 (multiplicity 4)  4 Cd 3.16, 4 Zr 3.16
Zr  0.2500  0.2500  0.7500 (multiplicity 4)  4 Cd 3.16, 4 Y 3.16
Cd  0.0000  0.0000  0.5000 (multiplicity 4)  4 Cd 3.16, 4 Zr 3.16
Cd  0.2500  0.2500  0.2500 (multiplicity 4)  4 Cd 3.16, 4 Y 3.16

Calculated values
E_tot: -4.072 eV/atom
Energy relative to the lowest polymorph listed for this composition: 311.0 meV per atom

# 6
# YZr2Cd

Crystalline YZr2Cd at its relaxed geometry (PBE, the Alexandria database).

a = 3.3688 Å, b = 4.2364 Å, c = 6.9177 Å
α = 90.00°, β = 90.00°, γ = 90.00°
Last column: nearest neighbours and their distance in Å.
Space group Pmm2 (No. 25)
Unique sites:
Y  0.0000  0.0000  0.0000 (multiplicity 1)  4 Cd 3.26, 6 Zr 3.31-3.52, 2 Y 3.37
Zr  0.0000  0.0000  0.4905 (multiplicity 1)  6 Zr 3.09-3.37, 4 Cd 3.20, 1 Y 3.39
Zr  0.5000  0.5000  0.2759 (multiplicity 1)  6 Zr 3.09-3.37, 1 Cd 3.19, 4 Y 3.31
Cd  0.5000  0.5000  0.7374 (multiplicity 1)  5 Zr 3.19-3.20, 4 Y 3.26, 2 Cd 3.37

Calculated values
E_tot: -6.159 eV/atom

Number 1: formation energy -0.01 eV per atom. Number 2: formation energy 0.69 eV per atom. Number 3: formation energy 0.31 eV per atom. Number 4: formation energy -0.17 eV per atom. Number 5: formation energy 0.14 eV per atom. Number 6: formation energy -0.04 eV per atom.